Here is a relaxed structure of TlBiI3 from Alexandria via LeMat-Bulk. Energies are from GGA-PBE.

The uncorrected formation energy is -418 meV/atom. The crystal system is triclinic. The calculation puts the total magnetic moment at 0.0 μB/f.u.

It has space group P-1 (No. 2), with a = 6.7015 Å, b = 6.7054 Å, c = 11.7601 Å, α = 86.60°, β = 86.36° and γ = 88.44°. The inequivalent atoms are Tl at (0.2485, 0.2515, 0.4995), Bi at (0.0827, 0.5832, 0.8814), I at (0.1456, 0.1792, 0.8121), I at (0.2382, 0.7385, 0.5792) and I at (0.3222, 0.3504, 0.1855).